LiNiP3O9: optimized geometry, PBE with a Hubbard U.

magnetic moment	3.9	μB/cell
total energy	-6.718	eV per atom
DOS at the Fermi energy	0.000	states/eV/f.u.
space group	P-1
excess energy over the best structure of this formula in the dataset	0.398	eV/f.u.

Cell and atoms, written as extended XYZ:
```
28
Lattice="-4.0011 4.4128 -2.6022 -4.7916 -1.8734 4.5227 3.7402 5.0671 3.7038" Properties=species:S:1:pos:R:3 pbc="T T T"
Li -4.7500 3.8772 0.2823
Li -0.3026 3.7293 5.3420
Ni -7.2533 2.7701 2.3944
Ni 2.2007 4.8364 3.2299
P -5.1302 5.1196 3.3118
P -0.2118 6.6771 1.6921
P -2.3031 5.8852 3.7324
P -2.7495 1.7212 1.8918
P -4.8407 0.9293 3.9322
P 0.0777 2.4868 2.3124
O -3.4628 5.4674 -0.4323
O -5.7506 4.2575 2.2422
O -2.8173 7.2495 4.1735
O -0.3054 8.2103 1.7248
O -5.3054 4.3351 4.7015
O -3.5485 5.0730 3.0616
O -1.5148 6.0721 2.3501
O -3.4939 2.5769 0.9476
O -6.0797 1.5769 3.4618
O 1.0272 6.0296 2.1625
O -1.5587 5.0296 4.6766
O -3.5378 1.5344 3.2742
O -1.5041 2.5334 2.5627
O 0.2528 3.2713 0.9228
O -4.7471 -0.6038 3.8994
O -2.2353 0.3570 1.4507
O 0.6980 3.3489 3.3821
O -1.5898 2.1390 6.0566
```